(1)
CaLaHgRu after structural relaxation. Source: Alexandria via LeMat-Bulk, functional PBE-GGA.

Properties
density of states at the Fermi level = 2.2 states/eV per cell
space-group type = F-43m (216)
energy of formation = -0.160 eV per atom

extended XYZ file:
```
4
Lattice="0.000 3.662 3.662 3.662 0.000 3.662 3.662 3.662 0.000" Properties=species:S:1:pos:R:3 pbc="T T T"
Ca 0.000 0.000 0.000
La 3.662 3.662 3.662
Hg 5.493 5.493 5.493
Ru 1.831 1.831 1.831
```

***

(2)
CaLaSiHg after structural relaxation. Source: Alexandria via LeMat-Bulk, functional PBE-GGA.

Properties
total DFT energy (no corrections) = -3.649 eV/atom
density of states at the Fermi level = 3.5 states/eV per cell
space-group type = F-43m (216)

extended XYZ file:
```
4
Lattice="0.000 3.754 3.754 3.754 0.000 3.754 3.754 3.754 0.000" Properties=species:S:1:pos:R:3 pbc="T T T"
Ca 0.000 0.000 0.000
La 3.754 3.754 3.754
Si 1.877 1.877 1.877
Hg 5.631 5.631 5.631
```

***

Respective total moment values: 0.000; 0.000 μB/atom.